# MnSn | Alexandria via LeMat-Bulk | GGA-PBE | optimized geometry
# calculated density = 4.62 g/cm3
# raw total energy = -0.21813 hartree per atom
data_MnSn
_chemical_formula_sum 'Mn8 Sn8'
_space_group_name_H-M_alt 'I -4 3 m'
_space_group_IT_number 217
_space_group_name_Hall 'I -4 2 3'
_cell_length_a 7.931
_cell_length_b 7.931
_cell_length_c 7.931
_cell_angle_alpha 90.00
_cell_angle_beta 90.00
_cell_angle_gamma 90.00
loop_
_atom_site_label
_atom_site_fract_x
_atom_site_fract_y
_atom_site_fract_z
_atom_site_occupancy
Mn1 0.115 0.115 0.115 1
Sn1 0.200 0.200 0.800 1

# ZrRh2Cl | Alexandria via LeMat-Bulk | GGA-PBE | optimized geometry
# calculated density = 8.27 g/cm3
# E above lowest polymorph = 441 meV/atom
# uncorrected formation energy = 0.0 eV per formula unit
data_ZrRh2Cl
_chemical_formula_sum 'Zr1 Rh2 Cl1'
_space_group_name_H-M_alt 'P 4/m m m'
_space_group_IT_number 123
_space_group_name_Hall '-P 4 2'
_cell_length_a 4.073
_cell_length_b 4.073
_cell_length_c 4.022
_cell_angle_alpha 90.00
_cell_angle_beta 90.00
_cell_angle_gamma 90.00
loop_
_atom_site_label
_atom_site_fract_x
_atom_site_fract_y
_atom_site_fract_z
_atom_site_occupancy
Zr1 0.000 0.000 0.000 1
Rh1 0.000 0.500 0.500 1
Cl1 0.500 0.500 0.000 1

# KFeAgI5 | Alexandria via LeMat-Bulk | GGA-PBE | optimized geometry
# calculated density = 4.12 g/cm3
# uncorrected formation energy = -4.0 eV per formula unit
data_KFeAgI5
_chemical_formula_sum 'K4 Fe4 Ag4 I20'
_space_group_name_H-M_alt 'C 1 2/c 1'
_space_group_IT_number 15
_cell_length_a 10.576
_cell_length_b 13.644
_cell_length_c 9.972
_cell_angle_alpha 90.00
_cell_angle_beta 110.16
_cell_angle_gamma 90.00
loop_
_space_group_symop_operation_xyz
'x,y,z'
'-x,-y,-z'
'-x,y,-z+1/2'
'x,-y,z+1/2'
'x+1/2,y+1/2,z'
'-x+1/2,-y+1/2,-z'
'-x+1/2,y+1/2,-z+1/2'
'x+1/2,-y+1/2,z+1/2'
loop_
_atom_site_label
_atom_site_fract_x
_atom_site_fract_y
_atom_site_fract_z
_atom_site_occupancy
K1 0.000 0.156 0.250 1
Fe1 0.000 0.170 0.750 1
Ag1 0.000 0.500 0.000 1
I1 0.000 0.417 0.250 1
I2 0.125 0.280 0.629 1
I3 0.168 0.063 0.942 1

# K5MgBr8 | Alexandria via LeMat-Bulk | GGA-PBE | optimized geometry
# calculated density = 2.86 g/cm3
# uncorrected formation energy = -20.4 eV per formula unit
data_K5MgBr8
_chemical_formula_sum 'K10 Mg2 Br16'
_space_group_name_H-M_alt 'I -4'
_space_group_IT_number 82
_cell_length_a 9.645
_cell_length_b 9.645
_cell_length_c 10.710
_cell_angle_alpha 90.00
_cell_angle_beta 90.00
_cell_angle_gamma 90.00
loop_
_space_group_symop_operation_xyz
'x,y,z'
'y,-x,-z'
'-x,-y,z'
'-y,x,-z'
'x+1/2,y+1/2,z+1/2'
'y+1/2,-x+1/2,-z+1/2'
'-x+1/2,-y+1/2,z+1/2'
'-y+1/2,x+1/2,-z+1/2'
loop_
_atom_site_label
_atom_site_fract_x
_atom_site_fract_y
_atom_site_fract_z
_atom_site_occupancy
K1 0.000 0.000 0.000 1
K2 0.135 0.738 0.380 1
Mg1 0.000 0.500 0.750 1
Br1 0.055 0.756 0.694 1
Br2 0.091 0.683 0.075 1

# NdPu3Mn3 | Alexandria via LeMat-Bulk | GGA-PBE | optimized geometry
# calculated density = 11.02 g/cm3
# raw total energy = -0.37342 hartree per atom
data_NdPu3Mn3
_chemical_formula_sum 'Nd2 Pu6 Mn6'
_space_group_name_H-M_alt 'P m -3 n'
_space_group_IT_number 223
_space_group_name_Hall '-P 4n 2 3'
_cell_length_a 6.796
_cell_length_b 6.796
_cell_length_c 6.796
_cell_angle_alpha 90.00
_cell_angle_beta 90.00
_cell_angle_gamma 90.00
loop_
_atom_site_label
_atom_site_fract_x
_atom_site_fract_y
_atom_site_fract_z
_atom_site_occupancy
Nd1 0.000 0.000 0.000 1
Pu1 0.000 0.250 0.500 1
Mn1 0.000 0.500 0.250 1

# V3SiN | Alexandria via LeMat-Bulk | GGA-PBE | optimized geometry
# calculated density = 5.44 g/cm3
# E above lowest polymorph = 188 meV/atom
# uncorrected formation energy = -3.2 eV per formula unit
data_V3SiN
_chemical_formula_sum 'V3 Si1 N1'
_space_group_name_H-M_alt 'P m -3 m'
_space_group_IT_number 221
_space_group_name_Hall '-P 4 2 3'
_cell_length_a 3.904
_cell_length_b 3.904
_cell_length_c 3.904
_cell_angle_alpha 90.00
_cell_angle_beta 90.00
_cell_angle_gamma 90.00
loop_
_atom_site_label
_atom_site_fract_x
_atom_site_fract_y
_atom_site_fract_z
_atom_site_occupancy
V1 0.000 0.000 0.500 1
Si1 0.500 0.500 0.500 1
N1 0.000 0.000 0.000 1

# RbFe2TePb | Alexandria via LeMat-Bulk | GGA-PBE | optimized geometry
# calculated density = 5.12 g/cm3
# uncorrected formation energy = 5.0 eV per formula unit
data_RbFe2TePb
_chemical_formula_sum 'Rb1 Fe2 Te1 Pb1'
_space_group_name_H-M_alt 'P 4/m m m'
_space_group_IT_number 123
_space_group_name_Hall '-P 4 2'
_cell_length_a 5.146
_cell_length_b 5.146
_cell_length_c 6.513
_cell_angle_alpha 90.00
_cell_angle_beta 90.00
_cell_angle_gamma 90.00
loop_
_atom_site_label
_atom_site_fract_x
_atom_site_fract_y
_atom_site_fract_z
_atom_site_occupancy
Rb1 0.000 0.000 0.000 1
Fe1 0.000 0.500 0.500 1
Te1 0.500 0.500 0.000 1
Pb1 0.000 0.000 0.500 1

# ScCr2S | Alexandria via LeMat-Bulk | GGA-PBE | optimized geometry
# calculated density = 5.02 g/cm3
# uncorrected formation energy = 0.0 eV per formula unit
data_ScCr2S
_chemical_formula_sum 'Sc4 Cr8 S4'
_space_group_name_H-M_alt 'I -4 2 d'
_space_group_IT_number 122
_space_group_name_Hall 'I -4 2bw'
_cell_length_a 3.691
_cell_length_b 3.691
_cell_length_c 17.584
_cell_angle_alpha 90.00
_cell_angle_beta 90.00
_cell_angle_gamma 90.00
loop_
_atom_site_label
_atom_site_fract_x
_atom_site_fract_y
_atom_site_fract_z
_atom_site_occupancy
Sc1 0.000 0.000 0.000 1
Cr1 0.166 0.250 0.625 1
S1 0.000 0.000 0.500 1

# Sn13Ru2 | Alexandria via LeMat-Bulk | GGA-PBE | optimized geometry
# calculated density = 7.54 g/cm3
# raw total energy = -0.17294 hartree per atom
data_Sn13Ru2
_chemical_formula_sum 'Sn13 Ru2'
_space_group_name_H-M_alt 'P -1'
_space_group_IT_number 2
_cell_length_a 6.830
_cell_length_b 7.539
_cell_length_c 8.302
_cell_angle_alpha 70.56
_cell_angle_beta 75.79
_cell_angle_gamma 75.73
loop_
_space_group_symop_operation_xyz
'x,y,z'
'-x,-y,-z'
loop_
_atom_site_label
_atom_site_fract_x
_atom_site_fract_y
_atom_site_fract_z
_atom_site_occupancy
Sn1 0.000 0.000 0.000 1
Sn2 0.077 0.165 0.347 1
Sn3 0.179 0.414 0.712 1
Sn4 0.231 0.704 0.314 1
Sn5 0.264 0.500 0.030 1
Sn6 0.469 0.787 0.543 1
Sn7 0.479 0.908 0.875 1
Ru1 0.176 0.064 0.676 1

# TaMoSe | Alexandria via LeMat-Bulk | GGA-PBE | optimized geometry
# calculated density = 11.81 g/cm3
# E above lowest polymorph = 205 meV/atom
# uncorrected formation energy = 0.3 eV per formula unit
data_TaMoSe
_chemical_formula_sum 'Ta2 Mo2 Se2'
_space_group_name_H-M_alt 'I 4 m m'
_space_group_IT_number 107
_space_group_name_Hall 'I 4 -2'
_cell_length_a 3.057
_cell_length_b 3.057
_cell_length_c 10.707
_cell_angle_alpha 90.00
_cell_angle_beta 90.00
_cell_angle_gamma 90.00
loop_
_atom_site_label
_atom_site_fract_x
_atom_site_fract_y
_atom_site_fract_z
_atom_site_occupancy
Ta1 0.000 0.000 0.000 1
Mo1 0.000 0.000 0.308 1
Se1 0.000 0.000 0.674 1

# SnGe3N | Alexandria via LeMat-Bulk | GGA-PBE | optimized geometry
# calculated density = 4.02 g/cm3
# E above lowest polymorph = 1445 meV/atom
# uncorrected formation energy = 10.0 eV per formula unit
data_SnGe3N
_chemical_formula_sum 'Sn1 Ge3 N1'
_space_group_name_H-M_alt 'P m -3 m'
_space_group_IT_number 221
_space_group_name_Hall '-P 4 2 3'
_cell_length_a 5.253
_cell_length_b 5.253
_cell_length_c 5.253
_cell_angle_alpha 90.00
_cell_angle_beta 90.00
_cell_angle_gamma 90.00
loop_
_atom_site_label
_atom_site_fract_x
_atom_site_fract_y
_atom_site_fract_z
_atom_site_occupancy
Sn1 0.000 0.000 0.000 1
Ge1 0.000 0.000 0.500 1
N1 0.500 0.500 0.500 1

# RbMgW2Se | Alexandria via LeMat-Bulk | GGA-PBE | optimized geometry
# calculated density = 7.56 g/cm3
# uncorrected formation energy = 16.7 eV per formula unit
data_RbMgW2Se
_chemical_formula_sum 'Rb1 Mg1 W2 Se1'
_space_group_name_H-M_alt 'P 4/m m m'
_space_group_IT_number 123
_space_group_name_Hall '-P 4 2'
_cell_length_a 4.821
_cell_length_b 4.821
_cell_length_c 5.261
_cell_angle_alpha 90.00
_cell_angle_beta 90.00
_cell_angle_gamma 90.00
loop_
_atom_site_label
_atom_site_fract_x
_atom_site_fract_y
_atom_site_fract_z
_atom_site_occupancy
Rb1 0.000 0.000 0.000 1
Mg1 0.000 0.000 0.500 1
W1 0.000 0.500 0.000 1
Se1 0.500 0.500 0.500 1

# Zr5Re | Alexandria via LeMat-Bulk | GGA-PBE | optimized geometry
# calculated density = 8.48 g/cm3
# E above lowest polymorph = 82 meV/atom
data_Zr5Re
_chemical_formula_sum 'Zr10 Re2'
_space_group_name_H-M_alt 'C m m m'
_space_group_IT_number 65
_space_group_name_Hall '-C 2 2'
_cell_length_a 4.918
_cell_length_b 10.419
_cell_length_c 4.909
_cell_angle_alpha 90.00
_cell_angle_beta 90.00
_cell_angle_gamma 90.00
loop_
_atom_site_label
_atom_site_fract_x
_atom_site_fract_y
_atom_site_fract_z
_atom_site_occupancy
Zr1 0.000 0.000 0.000 1
Zr2 0.000 0.154 0.500 1
Zr3 0.000 0.344 0.000 1
Re1 0.000 0.500 0.500 1

# Mg2CrRu | Alexandria via LeMat-Bulk | GGA-PBE | optimized geometry
# calculated density = 5.13 g/cm3
# E above lowest polymorph = 155 meV/atom
data_Mg2CrRu
_chemical_formula_sum 'Mg4 Cr2 Ru2'
_space_group_name_H-M_alt 'I m m 2'
_space_group_IT_number 44
_cell_length_a 3.118
_cell_length_b 4.616
_cell_length_c 9.070
_cell_angle_alpha 90.00
_cell_angle_beta 90.00
_cell_angle_gamma 90.00
loop_
_space_group_symop_operation_xyz
'x,y,z'
'-x,-y,z'
'-x,y,z'
'x,-y,z'
'x+1/2,y+1/2,z+1/2'
'-x+1/2,-y+1/2,z+1/2'
'-x+1/2,y+1/2,z+1/2'
'x+1/2,-y+1/2,z+1/2'
loop_
_atom_site_label
_atom_site_fract_x
_atom_site_fract_y
_atom_site_fract_z
_atom_site_occupancy
Mg1 0.000 0.000 0.000 1
Mg2 0.000 0.500 0.222 1
Cr1 0.000 0.000 0.454 1
Ru1 0.000 0.500 0.755 1

# NaPm2PaS4 | Alexandria via LeMat-Bulk | GGA-PBE | optimized geometry
# calculated density = 6.22 g/cm3
# uncorrected formation energy = -14.1 eV per formula unit
data_NaPm2PaS4
_chemical_formula_sum 'Na1 Pm2 Pa1 S4'
_space_group_name_H-M_alt 'P 1 2/m 1'
_space_group_IT_number 10
_cell_length_a 6.881
_cell_length_b 3.959
_cell_length_c 6.971
_cell_angle_alpha 90.00
_cell_angle_beta 108.94
_cell_angle_gamma 90.00
loop_
_space_group_symop_operation_xyz
'x,y,z'
'-x,-y,-z'
'-x,y,-z'
'x,-y,z'
loop_
_atom_site_label
_atom_site_fract_x
_atom_site_fract_y
_atom_site_fract_z
_atom_site_occupancy
Na1 0.000 0.000 0.000 1
Pm1 0.500 0.000 0.500 1
Pm2 0.500 0.500 0.000 1
Pa1 0.000 0.500 0.500 1
S1 0.240 0.000 0.747 1
S2 0.243 0.500 0.253 1

# Tb8Pr2Th3 | Alexandria via LeMat-Bulk | GGA-PBE | optimized geometry
# calculated density = 8.30 g/cm3
# raw total energy = -0.18502 hartree per atom
data_Tb8Pr2Th3
_chemical_formula_sum 'Tb16 Pr4 Th6'
_space_group_name_H-M_alt 'C m m m'
_space_group_IT_number 65
_space_group_name_Hall '-C 2 2'
_cell_length_a 7.903
_cell_length_b 20.485
_cell_length_c 5.561
_cell_angle_alpha 90.00
_cell_angle_beta 90.00
_cell_angle_gamma 90.00
loop_
_atom_site_label
_atom_site_fract_x
_atom_site_fract_y
_atom_site_fract_z
_atom_site_occupancy
Tb1 0.000 0.123 0.000 1
Tb2 0.000 0.337 0.000 1
Tb3 0.205 0.395 0.500 1
Pr1 0.000 0.239 0.500 1
Th1 0.000 0.000 0.500 1
Th2 0.204 0.500 0.000 1

# Nd6Ru2SeI3 | Alexandria via LeMat-Bulk | GGA-PBE | optimized geometry
# calculated density = 6.72 g/cm3
# uncorrected formation energy = -11.1 eV per formula unit
data_Nd6Ru2SeI3
_chemical_formula_sum 'Nd12 Ru4 Se2 I6'
_space_group_name_H-M_alt 'C 1 2/m 1'
_space_group_IT_number 12
_cell_length_a 7.374
_cell_length_b 12.760
_cell_length_c 8.393
_cell_angle_alpha 90.00
_cell_angle_beta 107.01
_cell_angle_gamma 90.00
loop_
_space_group_symop_operation_xyz
'x,y,z'
'-x,-y,-z'
'-x,y,-z'
'x,-y,z'
'x+1/2,y+1/2,z'
'-x+1/2,-y+1/2,-z'
'-x+1/2,y+1/2,-z'
'x+1/2,-y+1/2,z'
loop_
_atom_site_label
_atom_site_fract_x
_atom_site_fract_y
_atom_site_fract_z
_atom_site_occupancy
Nd1 0.207 0.000 0.188 1
Nd2 0.240 0.322 0.189 1
Ru1 0.000 0.167 0.000 1
Se1 0.000 0.500 0.000 1
I1 0.000 0.000 0.500 1
I2 0.000 0.336 0.500 1

# BaTe2IrN | Alexandria via LeMat-Bulk | GGA-PBE | optimized geometry
# calculated density = 5.77 g/cm3
# E above lowest polymorph = 2288 meV/atom
# uncorrected formation energy = 9.7 eV per formula unit
data_BaTe2IrN
_chemical_formula_sum 'Ba1 Te2 Ir1 N1'
_space_group_name_H-M_alt 'P 4/m m m'
_space_group_IT_number 123
_space_group_name_Hall '-P 4 2'
_cell_length_a 6.354
_cell_length_b 6.354
_cell_length_c 4.266
_cell_angle_alpha 90.00
_cell_angle_beta 90.00
_cell_angle_gamma 90.00
loop_
_atom_site_label
_atom_site_fract_x
_atom_site_fract_y
_atom_site_fract_z
_atom_site_occupancy
Ba1 0.000 0.000 0.000 1
Te1 0.000 0.500 0.000 1
Ir1 0.500 0.500 0.500 1
N1 0.000 0.000 0.500 1

# LaTbTl | Alexandria via LeMat-Bulk | GGA-PBE | optimized geometry
# calculated density = 9.10 g/cm3
# E above lowest polymorph = 0 meV/atom
data_LaTbTl
_chemical_formula_sum 'La2 Tb2 Tl2'
_space_group_name_H-M_alt 'P 63/m m c'
_space_group_IT_number 194
_space_group_name_Hall '-P 6c 2c'
_cell_length_a 5.5573
_cell_length_b 5.5573
_cell_length_c 6.8505
_cell_angle_alpha 90.00
_cell_angle_beta 90.00
_cell_angle_gamma 120.00
loop_
_atom_site_label
_atom_site_fract_x
_atom_site_fract_y
_atom_site_fract_z
_atom_site_occupancy
La1 0.0000 0.0000 0.0000 1
Tb1 0.3333 0.6667 0.2500 1
Tl1 0.3333 0.6667 0.7500 1

# La3NdHo2 | Alexandria via LeMat-Bulk | GGA-PBE | optimized geometry
# calculated density = 6.94 g/cm3
# E above lowest polymorph = 0 meV/atom
data_La3NdHo2
_chemical_formula_sum 'La12 Nd4 Ho8'
_space_group_name_H-M_alt 'I m m a'
_space_group_IT_number 74
_space_group_name_Hall '-I 2b 2'
_cell_length_a 7.291
_cell_length_b 17.712
_cell_length_c 6.600
_cell_angle_alpha 90.00
_cell_angle_beta 90.00
_cell_angle_gamma 90.00
loop_
_atom_site_label
_atom_site_fract_x
_atom_site_fract_y
_atom_site_fract_z
_atom_site_occupancy
La1 0.000 0.071 0.243 1
La2 0.000 0.250 0.480 1
Nd1 0.000 0.250 0.981 1
Ho1 0.250 0.104 0.750 1